No. 1
Compound: CaAlSn2
Source: Alexandria via LeMat-Bulk
Functional: PBE-GGA
Structure: relaxed

Output
- ΔH_f (0 K) (eV per atom) = -0.09

a = 10.525 Å, b = 10.525 Å, c = 10.525 Å
α = 153.29°, β = 153.29°, γ = 38.13°
Fractional coordinates of all 8 atoms:
Ca  0.000  0.000  0.000
Ca  0.750  0.250  0.500
Al  0.250  0.750  0.500
Al  0.500  0.500  0.000
Sn  0.187  0.625  0.062
Sn  0.375  0.437  0.562
Sn  0.563  0.125  0.938
Sn  0.875  0.813  0.438


No. 2
Compound: CaAlSn2
Source: Alexandria via LeMat-Bulk
Functional: PBE-GGA
Structure: relaxed

Output
- ΔH_f (0 K) (eV per atom) = -0.27

a = 4.688 Å, b = 4.688 Å, c = 4.512 Å
α = 90.00°, β = 90.00°, γ = 90.00°
Fractional coordinates of all 4 atoms:
Ca  0.000  0.000  0.000
Al  0.500  0.500  0.000
Sn  0.000  0.500  0.500
Sn  0.500  0.000  0.500


No. 3
Compound: Ca3Al2Sn3
Source: Alexandria via LeMat-Bulk
Functional: PBE-GGA
Structure: relaxed

Output
- ΔH_f (0 K) (eV per atom) = -0.34

a = 6.188 Å, b = 6.188 Å, c = 14.845 Å
α = 90.00°, β = 90.00°, γ = 131.43°
Fractional coordinates of all 16 atoms:
Ca  0.039  0.961  0.750
Ca  0.149  0.851  0.032
Ca  0.149  0.851  0.468
Ca  0.851  0.149  0.532
Ca  0.851  0.149  0.968
Ca  0.961  0.039  0.250
Al  0.313  0.687  0.659
Al  0.313  0.687  0.841
Al  0.687  0.313  0.159
Al  0.687  0.313  0.341
Sn  0.249  0.751  0.250
Sn  0.451  0.549  0.099
Sn  0.451  0.549  0.401
Sn  0.549  0.451  0.599
Sn  0.549  0.451  0.901
Sn  0.751  0.249  0.750